Entry 1:
The following is a DFT calculation (GGA-PBE) of Y3HoIn3 after structural relaxation.

abc: 9.319 9.319 9.319
angles: 90.00 90.00 90.00
Element x y z (fractional)
Y: 0.824 0.324 0.176
Y: 0.928 0.928 0.928
Y: 0.824 0.676 0.324
Y: 0.176 0.824 0.324
Y: 0.176 0.176 0.176
Y: 0.324 0.824 0.676
Y: 0.072 0.428 0.572
Y: 0.324 0.176 0.824
Y: 0.676 0.324 0.824
Y: 0.676 0.676 0.676
Y: 0.572 0.072 0.428
Y: 0.428 0.572 0.072
Ho: 0.077 0.577 0.923
Ho: 0.923 0.077 0.577
Ho: 0.423 0.423 0.423
Ho: 0.577 0.923 0.077
In: 0.754 0.625 0.999
In: 0.875 0.001 0.254
In: 0.999 0.754 0.625
In: 0.125 0.501 0.246
In: 0.246 0.125 0.501
In: 0.254 0.875 0.001
In: 0.001 0.254 0.875
In: 0.375 0.499 0.746
In: 0.501 0.246 0.125
In: 0.625 0.999 0.754
In: 0.746 0.375 0.499
In: 0.499 0.746 0.375

Results
As for the volume: 809.3 Å³ per cell. As for the space group: P2_13, No. 198. As for the energy of formation: -0.341 eV per atom. For the total magnetic moment, the calculation gives 0.00 μB/f.u.

---

Entry 2:
The following is a DFT calculation (GGA-PBE) of LiCeEr2Se4 after structural relaxation.

abc: 4.056 7.059 7.099
angles: 109.21 90.00 90.00
Element x y z (fractional)
Li: 0.500 0.500 0.000
Ce: 0.000 0.000 0.000
Er: 0.500 0.000 0.500
Er: 0.000 0.500 0.500
Se: 0.500 0.262 0.257
Se: 0.500 0.738 0.743
Se: 0.000 0.256 0.747
Se: 0.000 0.744 0.253

Results
As for the volume: 192.0 Å³ per cell. As for the space group: P2/m, No. 10. The energy relative to the elements, uncorrected comes out at -1719 meV per atom. For the total magnetic moment, the calculation gives 1.23 μB/f.u.

---

Entry 3:
The following is a DFT calculation (GGA-PBE) of Pa2Te6Rh after structural relaxation.

abc: 6.746 7.837 9.635
angles: 90.00 87.17 90.00
Element x y z (fractional)
Pa: 0.936 0.366 0.750
Pa: 0.564 0.866 0.750
Pa: 0.436 0.134 0.250
Pa: 0.064 0.634 0.250
Te: 0.851 0.970 0.247
Te: 0.851 0.679 0.552
Te: 0.847 0.675 0.947
Te: 0.653 0.175 0.553
Te: 0.649 0.179 0.948
Te: 0.649 0.470 0.253
Te: 0.149 0.030 0.753
Te: 0.149 0.321 0.448
Te: 0.153 0.325 0.053
Te: 0.347 0.825 0.447
Te: 0.351 0.821 0.052
Te: 0.351 0.530 0.747
Rh: 0.500 0.500 0.000
Rh: 0.000 0.000 0.500

Results
As for the volume: 508.8 Å³ per cell. As for the space group: P2_1/c, No. 14. The energy relative to the elements, uncorrected comes out at -707 meV per atom. For the total magnetic moment, the calculation gives 0.00 μB/f.u.

---

Entry 4:
The following is a DFT calculation (GGA-PBE) of BaCaGa3 after structural relaxation.

abc: 5.827 5.827 5.827
angles: 90.00 90.00 90.00
Element x y z (fractional)
Ca: 0.500 0.500 0.500
Ba: 0.000 0.000 0.000
Ga: 0.000 0.500 0.000
Ga: 0.000 0.000 0.500
Ga: 0.500 0.000 0.000

Results
As for the volume: 197.9 Å³ per cell. For the relative energy among the computed polymorphs, the calculation gives 1080.0 meV/atom. As for the space group: Pm-3m, No. 221. As for the energy of formation: 0.637 eV per atom. For the total magnetic moment, the calculation gives 0.00 μB/f.u.

---

Entry 5:
The following is a DFT calculation (GGA-PBE) of CaB3P after structural relaxation.

abc: 3.973 3.973 3.973
angles: 90.00 90.00 90.00
Element x y z (fractional)
P: 0.000 0.000 0.000
Ca: 0.500 0.500 0.500
B: 0.000 0.500 0.000
B: 0.000 0.000 0.500
B: 0.500 0.000 0.000

Results
As for the volume: 62.7 Å³ per cell. For the relative energy among the computed polymorphs, the calculation gives 0.0 meV/atom. As for the space group: Pm-3m, No. 221. As for the energy of formation: 0.977 eV per atom. For the total magnetic moment, the calculation gives 0.00 μB/f.u.

---

Entry 6:
The following is a DFT calculation (GGA-PBE) of ScHgS2O8 after structural relaxation.

abc: 5.136 5.136 8.140
angles: 92.07 92.07 63.05
Element x y z (fractional)
Sc: 0.000 0.000 0.000
Hg: 0.000 0.000 0.500
S: 0.659 0.659 0.210
S: 0.341 0.341 0.790
O: 0.664 0.213 0.823
O: 0.783 0.783 0.090
O: 0.717 0.717 0.381
O: 0.283 0.283 0.619
O: 0.217 0.217 0.910
O: 0.213 0.664 0.823
O: 0.787 0.336 0.177
O: 0.336 0.787 0.177

Results
As for the volume: 191.3 Å³ per cell. As for the space group: C2/m, No. 12. The energy relative to the elements, uncorrected comes out at -1654 meV per atom. For the total magnetic moment, the calculation gives 1.00 μB/f.u.

---

Entry 7:
The following is a DFT calculation (GGA-PBE) of KAl2CdF8 after structural relaxation.

abc: 5.695 5.695 7.932
angles: 68.96 68.96 60.00
Element x y z (fractional)
K: 0.500 0.500 0.500
Al: 0.245 0.245 0.266
Al: 0.755 0.755 0.734
Cd: 0.000 0.000 0.000
F: 0.166 0.166 0.502
F: 0.525 0.318 0.196
F: 0.834 0.834 0.498
F: 0.961 0.525 0.196
F: 0.039 0.475 0.804
F: 0.318 0.961 0.196
F: 0.682 0.039 0.804
F: 0.475 0.682 0.804

Results
As for the volume: 202.8 Å³ per cell. As for the space group: R-3, No. 148. The energy relative to the elements, uncorrected comes out at -2954 meV per atom. For the total magnetic moment, the calculation gives 0.57 μB/f.u.

---

Entry 8:
The following is a DFT calculation (GGA-PBE) of AlSBr2 after structural relaxation.

abc: 4.990 4.990 4.990
angles: 60.00 60.00 60.00
Element x y z (fractional)
S: 0.500 0.500 0.500
Al: 0.000 0.000 0.000
Br: 0.250 0.250 0.250
Br: 0.750 0.750 0.750

Results
As for the volume: 87.8 Å³ per cell. For the relative energy among the computed polymorphs, the calculation gives 817.9 meV/atom. As for the space group: Fm-3m, No. 225. The energy relative to the elements, uncorrected comes out at 471 meV per atom. For the total magnetic moment, the calculation gives 1.12 μB/f.u.

---

Entry 9:
The following is a DFT calculation (GGA-PBE) of Hf2SnB after structural relaxation.

abc: 4.704 4.704 4.704
angles: 60.00 60.00 60.00
Element x y z (fractional)
B: 0.000 0.000 0.000
Hf: 0.250 0.250 0.250
Hf: 0.750 0.750 0.750
Sn: 0.500 0.500 0.500

Results
As for the volume: 73.6 Å³ per cell. For the relative energy among the computed polymorphs, the calculation gives 997.0 meV/atom. As for the space group: Fm-3m, No. 225. As for the energy of formation: 0.436 eV per atom. For the total magnetic moment, the calculation gives 0.00 μB/f.u.

---

Entry 10:
The following is a DFT calculation (GGA-PBE) of Sr2MnSb4Pd3 after structural relaxation.

abc: 4.599 4.599 11.335
angles: 90.00 90.00 90.00
Element x y z (fractional)
Sr: 0.500 0.000 0.254
Sr: 0.000 0.500 0.746
Mn: 0.500 0.500 0.500
Sb: 0.500 0.500 0.000
Sb: 0.000 0.000 0.000
Sb: 0.500 0.000 0.631
Sb: 0.000 0.500 0.369
Pd: 0.000 0.000 0.500
Pd: 0.500 0.000 0.868
Pd: 0.000 0.500 0.132

Results
As for the volume: 239.7 Å³ per cell. As for the space group: P-4m2, No. 115. The energy relative to the elements, uncorrected comes out at -680 meV per atom. For the total magnetic moment, the calculation gives 3.74 μB/f.u.

---

Entry 11:
The following is a DFT calculation (GGA-PBE) of Rb2BaIn after structural relaxation.

abc: 5.463 5.463 15.381
angles: 79.77 79.77 90.00
Element x y z (fractional)
Ba: 0.000 0.000 0.000
Ba: 0.750 0.250 0.500
Rb: 0.602 0.125 0.250
Rb: 0.148 0.625 0.250
Rb: 0.375 0.398 0.750
Rb: 0.875 0.852 0.750
In: 0.500 0.500 0.000
In: 0.250 0.750 0.500

Results
As for the volume: 444.2 Å³ per cell. As for the space group: I-42d, No. 122. As for the energy of formation: 0.139 eV per atom. For the total magnetic moment, the calculation gives 0.00 μB/f.u.

---

Question: Look up the volume of the first one.
Answer: 809.3 Å³ per cell

---

Question: Which value of total magnetic moment does entry 2 give?
Answer: 1.23 μB/f.u.

---

Question: Which value of total magnetic moment does entry 11 give?
Answer: 0.00 μB/f.u.